1.
YBe2Br, relaxed, DFT PBE; symmetry = P2/m; energy above the most stable polymorph in this dataset = 0.4454 eV per atom; crystal system = monoclinic; total magnetization = 0.0 μB per cell; ΔE_f (raw) = 0.2599 eV/atom
1.0
3.5873 0.0000 0.0000
0.0000 4.1034 0.0000
-0.0180 0.0000 5.4196
Y Be Br
1 2 1
direct
0.0000 0.0000 0.0000
0.4986 0.5000 0.8137
0.5014 0.5000 0.1863
0.5000 0.0000 0.5000

2.
AcPm2Ni, relaxed, DFT PBE; symmetry = Cmcm; energy above the most stable polymorph in this dataset = 0.0191 eV per atom; crystal system = orthorhombic; formation enthalpy at 0 K = -142 meV per atom; total magnetization = 0.0 μB per cell
1.0
2.5330 -6.1440 0.0000
2.5330 6.1440 0.0000
0.0000 0.0000 7.6755
Ac Pm Ni
2 4 2
direct
0.0374 0.9626 0.7500
0.9626 0.0374 0.2500
0.3437 0.6563 0.5301
0.3437 0.6563 0.9699
0.6563 0.3437 0.0301
0.6563 0.3437 0.4699
0.2008 0.7992 0.2500
0.7992 0.2008 0.7500

3.
BaSbP2Cl, relaxed, DFT PBE; symmetry = P4/mmm; energy above the most stable polymorph in this dataset = 0.0000 eV per atom; crystal system = tetragonal; total magnetization = 0.0 μB per cell; ΔE_f (raw) = -0.3873 eV/atom
1.0
5.1233 0.0000 0.0000
0.0000 5.1233 0.0000
0.0000 0.0000 5.5126
Ba Sb P Cl
1 1 2 1
direct
0.0000 0.0000 0.0000
0.5000 0.5000 0.5000
0.0000 0.5000 0.5000
0.5000 0.0000 0.5000
0.5000 0.5000 0.0000

4.
LiTaW2Au, relaxed, DFT PBE; symmetry = P4/mmm; crystal system = tetragonal; formation enthalpy at 0 K = 1787 meV per atom; total magnetization = 0.0 μB per cell
1.0
4.7924 0.0000 0.0000
0.0000 4.7924 0.0000
0.0000 0.0000 5.2246
Li Ta W Au
1 1 2 1
direct
0.0000 0.0000 0.0000
0.5000 0.5000 0.5000
0.0000 0.5000 0.5000
0.5000 0.0000 0.5000
0.5000 0.5000 0.0000

5.
BOsAu3, relaxed, DFT PBE; symmetry = Pm-3m; energy above the most stable polymorph in this dataset = 0.0000 eV per atom; crystal system = cubic; formation enthalpy at 0 K = 1007 meV per atom; total magnetization = 0.0 μB per cell
1.0
4.3044 0.0000 0.0000
0.0000 4.3044 0.0000
0.0000 0.0000 4.3044
B Os Au
1 1 3
direct
0.0000 0.0000 0.0000
0.5000 0.5000 0.5000
0.0000 0.0000 0.5000
0.0000 0.5000 0.0000
0.5000 0.0000 0.0000

6.
LaAlCd, relaxed, DFT PBE; symmetry = I4mm; crystal system = tetragonal; formation enthalpy at 0 K = -211 meV per atom; total magnetization = 0.0 μB per cell
1.0
-1.7382 1.7382 6.2304
1.7382 -1.7382 6.2304
1.7382 1.7382 -6.2304
La Al Cd
1 1 1
direct
0.0000 0.0000 0.0000
0.6728 0.6728 0.0000
0.3040 0.3040 0.0000

7.
Ti2SiAuS, relaxed, DFT PBE; symmetry = P4/mmm; crystal system = tetragonal; total magnetization = 0.0 μB per cell; ΔE_f (raw) = 0.4244 eV/atom
1.0
4.7524 0.0000 0.0000
0.0000 4.7524 0.0000
0.0000 0.0000 4.3745
Ti Si Au S
2 1 1 1
direct
0.0000 0.5000 0.0000
0.5000 0.0000 0.0000
0.0000 0.0000 0.0000
0.5000 0.5000 0.5000
0.0000 0.0000 0.5000

8.
Ba3Bi, relaxed, DFT PBE; symmetry = P2_1/m; energy above the most stable polymorph in this dataset = 0.0000 eV per atom; crystal system = monoclinic; formation enthalpy at 0 K = -493 meV per atom; total magnetization = 0.2 μB per cell
1.0
8.3822 0.0000 0.0000
0.0000 4.8177 0.0000
-2.6654 0.0000 11.0498
Ba Bi
6 2
direct
0.0481 0.2500 0.3309
0.2826 0.7500 0.0554
0.4084 0.7500 0.6468
0.5916 0.2500 0.3532
0.7174 0.2500 0.9446
0.9519 0.7500 0.6691
0.2534 0.2500 0.8258
0.7466 0.7500 0.1742

Which value of total magnetization does entry 1 give? 0.0 μB per cell